# LaTbSmY | Alexandria via LeMat-Bulk | PBE | optimized geometry
# ΔH_f (0 K) ... 0.11 eV/atom
# D(E_F) ... 7.837 states/eV/f.u.
data_LaTbSmY
_chemical_formula_sum 'La1 Tb1 Sm1 Y1'
_symmetry_space_group_name_H-M 'P 1'
_symmetry_Int_Tables_number 1
_symmetry_space_group_name_Hall 'P 1'
_cell_length_a 5.779
_cell_length_b 5.779
_cell_length_c 5.779
_cell_angle_alpha 60.00
_cell_angle_beta 60.00
_cell_angle_gamma 60.00
loop_
_atom_site_label
_atom_site_fract_x
_atom_site_fract_y
_atom_site_fract_z
Y1 0.750 0.750 0.750
Tb1 0.250 0.250 0.250
Sm1 0.500 0.500 0.500
La1 0.000 0.000 0.000